First-principles (PBE) data for an optimized crystal structure of TaAuF2, as listed in the Alexandria database.

The calculation puts the energy above the most stable polymorph in this dataset at 0.343 eV/atom. The uncorrected formation energy is -102.65 kJ per mole of atoms. As for the total moment: 0.000 μB per formula unit.

The space group is I-42d (No. 122) and the conventional cell measures 4.1267, 4.1267 and 14.4718 Å, with angles of 90.00, 90.00 and 90.00 degrees. The asymmetric unit holds Ta at (0.0000, 0.0000, 0.0000), Au at (0.0000, 0.0000, 0.5000) and F at (0.0873, 0.2500, 0.1250).



First-principles (PBE) data for an optimized crystal structure of Tb4DyBi5, as listed in the Alexandria database.

Its uncorrected energy is -5.129 eV per atom. As for the total moment: 0.000 μB per formula unit.

The space group is Immm (No. 71) and the conventional cell measures 4.4869, 6.3405 and 22.4289 Å, with angles of 90.00, 90.00 and 90.00 degrees. The asymmetric unit holds Tb at (0.0000, 0.0000, 0.1000), Tb at (0.0000, 0.0000, 0.3002), Dy at (0.0000, 0.0000, 0.5000), Bi at (0.0000, 0.5000, 0.0995), Bi at (0.0000, 0.5000, 0.3000) and Bi at (0.0000, 0.5000, 0.5000).



First-principles (PBE) data for an optimized crystal structure of TeP3, as listed in the Alexandria database.

The calculation puts the energy above the most stable polymorph in this dataset at 0.220 eV/atom. The uncorrected formation energy is 40.37 kJ per mole of atoms. As for the total moment: 0.000 μB per formula unit.

The space group is Imm2 (No. 44) and the conventional cell measures 3.1342, 7.1504 and 8.1392 Å, with angles of 90.00, 90.00 and 90.00 degrees. The asymmetric unit holds Te at (0.0000, 0.0000, 0.0000), P at (0.0000, 0.1982, 0.3164) and P at (0.0000, 0.5000, 0.9296).



First-principles (PBE) data for an optimized crystal structure of SrCr2Os, as listed in the Alexandria database.

The calculation puts the energy above the most stable polymorph in this dataset at 0.053 eV/atom. As for the total moment: 0.000 μB per formula unit.

The space group is C2/m (No. 12) and the conventional cell measures 9.1374, 3.1328 and 5.7065 Å, with angles of 90.00, 102.83 and 90.00 degrees. The asymmetric unit holds Sr at (0.0000, 0.0000, 0.0000), Cr at (0.2119, 0.0000, 0.6090) and Os at (0.0000, 0.5000, 0.5000).